{
  "formula": "Ac4HgSbN",
  "functional": "GGA-PBE",
  "state": "relaxed",
  "total_magnetization_mub_per_fu": 0.00,
  "volume_a3_per_atom": 33.54,
  "e_tot_ev_per_atom": -4.94,
  "raw_formation_energy_ev_per_atom": -0.769,
  "lattice": [[3.6250, -8.9743, 0.0000], [3.6250, 8.9743, 0.0000], [0.0000, 0.0000, 7.2168]],
  "species": ["Ac", "Ac", "Ac", "Ac", "Ac", "Ac", "Ac", "Ac", "Hg", "Hg", "Sb", "Sb", "N", "N"],
  "fractional_positions": [[0.0000, 0.5000, 0.0000], [0.0000, 0.5000, 0.5000], [0.0652, 0.9348, 0.7500], [0.4179, 0.5821, 0.7500], [0.5000, 0.0000, 0.0000], [0.5000, 0.0000, 0.5000], [0.5821, 0.4179, 0.2500], [0.9348, 0.0652, 0.2500], [0.1150, 0.8850, 0.2500], [0.8850, 0.1150, 0.7500], [0.3875, 0.6125, 0.2500], [0.6125, 0.3875, 0.7500], [0.2815, 0.7185, 0.7500], [0.7185, 0.2815, 0.2500]]
}

***

{
  "formula": "Ac4HgSb2N2",
  "functional": "GGA-PBE",
  "state": "relaxed",
  "total_magnetization_mub_per_fu": 0.00,
  "volume_a3_per_atom": 31.36,
  "e_tot_ev_per_atom": -5.56,
  "raw_formation_energy_ev_per_atom": -0.936,
  "lattice": [[9.1343, -2.0599, 0.0000], [9.1343, 2.0599, 0.0000], [-3.1447, 0.0000, 7.4998]],
  "species": ["Ac", "Ac", "Ac", "Ac", "Hg", "Sb", "Sb", "N", "N"],
  "fractional_positions": [[0.0544, 0.0544, 0.2373], [0.2794, 0.2794, 0.3310], [0.7206, 0.7206, 0.6690], [0.9456, 0.9456, 0.7627], [0.5000, 0.5000, 0.5000], [0.3769, 0.3769, 0.0093], [0.6231, 0.6231, 0.9907], [0.1771, 0.1771, 0.4765], [0.8229, 0.8229, 0.5235]]
}

***

{
  "formula": "Ac4SiHgN",
  "functional": "GGA-PBE",
  "state": "relaxed",
  "total_magnetization_mub_per_fu": 0.00,
  "volume_a3_per_atom": 32.05,
  "e_tot_ev_per_atom": -4.92,
  "raw_formation_energy_ev_per_atom": -0.569,
  "lattice": [[3.6320, -8.4954, 0.0000], [3.6320, 8.4954, 0.0000], [0.0000, 0.0000, 7.2715]],
  "species": ["Ac", "Ac", "Ac", "Ac", "Ac", "Ac", "Ac", "Ac", "Si", "Si", "Hg", "Hg", "N", "N"],
  "fractional_positions": [[0.0000, 0.5000, 0.0000], [0.0000, 0.5000, 0.5000], [0.0630, 0.9370, 0.7500], [0.4215, 0.5785, 0.7500], [0.5000, 0.0000, 0.0000], [0.5000, 0.0000, 0.5000], [0.5785, 0.4215, 0.2500], [0.9370, 0.0630, 0.2500], [0.1191, 0.8809, 0.2500], [0.8809, 0.1191, 0.7500], [0.3849, 0.6151, 0.2500], [0.6151, 0.3849, 0.7500], [0.2743, 0.7257, 0.7500], [0.7257, 0.2743, 0.2500]]
}